[1]
A crystal of AgPbNF2 relaxed with PBEsol. Source: Alexandria via LeMat-Bulk, functional meta-GGA SCAN.

Unit cell a=4.420 b=4.420 c=4.147 alpha=90.00 beta=90.00 gamma=90.00
Space group P4/mmm (No. 123)
Asymmetric unit:
1 Ag 0.000 0.000 0.000 (multiplicity 1)
2 Pb 0.500 0.500 0.500 (multiplicity 1)
3 N 0.500 0.500 0.000 (multiplicity 1)
4 F 0.000 0.500 0.500 (multiplicity 2)

- E_form (uncorrected) (meV/atom) = -286

=====

[2]
A crystal of Mg2ZnNi relaxed with PBEsol. Source: Alexandria via LeMat-Bulk, functional meta-GGA SCAN.

Unit cell a=3.039 b=3.039 c=6.901 alpha=90.00 beta=90.00 gamma=90.00
Space group P4mm (No. 99)
Asymmetric unit:
1 Mg 0.000 0.000 0.000 (multiplicity 1)
2 Mg 0.500 0.500 0.339 (multiplicity 1)
3 Zn 0.500 0.500 0.737 (multiplicity 1)
4 Ni 0.000 0.000 0.569 (multiplicity 1)

- formation enthalpy at 0 K (meV per atom) = -134.8

=====

[3]
A crystal of Cd3PAu relaxed with PBEsol. Source: Alexandria via LeMat-Bulk, functional meta-GGA SCAN.

Unit cell a=4.945 b=4.945 c=4.945 alpha=90.00 beta=90.00 gamma=90.00
Space group Pm-3m (No. 221)
Asymmetric unit:
1 Cd 0.000 0.000 0.500 (multiplicity 3)
2 P 0.000 0.000 0.000 (multiplicity 1)
3 Au 0.500 0.500 0.500 (multiplicity 1)

- formation enthalpy at 0 K (meV per atom) = 387.4

=====

[4]
A crystal of K2NbReN relaxed with PBEsol. Source: Alexandria via LeMat-Bulk, functional meta-GGA SCAN.

Unit cell a=6.643 b=6.643 c=3.925 alpha=90.00 beta=90.00 gamma=90.00
Space group P4/mmm (No. 123)
Asymmetric unit:
1 K 0.000 0.500 0.000 (multiplicity 2)
2 Nb 0.000 0.000 0.000 (multiplicity 1)
3 Re 0.500 0.500 0.500 (multiplicity 1)
4 N 0.000 0.000 0.500 (multiplicity 1)

- E_form (uncorrected) (meV/atom) = 1732

=====

[5]
A crystal of RuBrN2F relaxed with PBEsol. Source: Alexandria via LeMat-Bulk, functional meta-GGA SCAN.

Unit cell a=3.896 b=3.896 c=4.223 alpha=90.00 beta=90.00 gamma=90.00
Space group P4/mmm (No. 123)
Asymmetric unit:
1 Ru 0.000 0.000 0.000 (multiplicity 1)
2 Br 0.500 0.500 0.500 (multiplicity 1)
3 N 0.000 0.500 0.500 (multiplicity 2)
4 F 0.500 0.500 0.000 (multiplicity 1)

- relative energy among the computed polymorphs (kcal/mol of atoms) = 1.38
- E_form (uncorrected) (meV/atom) = 2117

=====

[6]
A crystal of LiCuNi2 relaxed with PBEsol. Source: Alexandria via LeMat-Bulk, functional meta-GGA SCAN.

Unit cell a=2.556 b=4.092 c=8.288 alpha=90.00 beta=90.00 gamma=90.00
Space group Cmmm (No. 65)
Asymmetric unit:
1 Li 0.000 0.000 0.000 (multiplicity 2)
2 Cu 0.000 0.000 0.500 (multiplicity 2)
3 Ni 0.000 0.500 0.251 (multiplicity 4)

- formation enthalpy at 0 K (meV per atom) = 70.7

=====

[7]
A crystal of MnBiPPt2 relaxed with PBEsol. Source: Alexandria via LeMat-Bulk, functional meta-GGA SCAN.

Unit cell a=4.504 b=4.504 c=4.965 alpha=90.00 beta=90.00 gamma=90.00
Space group P4/mmm (No. 123)
Asymmetric unit:
1 Mn 0.000 0.000 0.000 (multiplicity 1)
2 Bi 0.000 0.000 0.500 (multiplicity 1)
3 P 0.500 0.500 0.500 (multiplicity 1)
4 Pt 0.000 0.500 0.000 (multiplicity 2)

- formation enthalpy at 0 K (meV per atom) = 1180.5

=====

[8]
A crystal of KZnAu2 relaxed with PBEsol. Source: Alexandria via LeMat-Bulk, functional meta-GGA SCAN.

Unit cell a=2.846 b=4.137 c=7.191 alpha=90.00 beta=90.00 gamma=90.00
Space group Pmm2 (No. 25)
Asymmetric unit:
1 K 0.000 0.000 0.000 (multiplicity 1)
2 Zn 0.500 0.500 0.344 (multiplicity 1)
3 Au 0.000 0.000 0.475 (multiplicity 1)
4 Au 0.500 0.500 0.707 (multiplicity 1)

- formation enthalpy at 0 K (meV per atom) = -127.6

=====

[9]
A crystal of FeIrCl2 relaxed with PBEsol. Source: Alexandria via LeMat-Bulk, functional meta-GGA SCAN.

Unit cell a=4.364 b=4.364 c=3.029 alpha=90.00 beta=90.00 gamma=90.00
Space group P4/mmm (No. 123)
Asymmetric unit:
1 Fe 0.000 0.000 0.000 (multiplicity 1)
2 Ir 0.500 0.500 0.000 (multiplicity 1)
3 Cl 0.000 0.500 0.500 (multiplicity 2)

- relative energy among the computed polymorphs (kcal/mol of atoms) = 14.07
- E_form (uncorrected) (meV/atom) = 879

=====

[10]
A crystal of LaInP relaxed with PBEsol. Source: Alexandria via LeMat-Bulk, functional meta-GGA SCAN.

Unit cell a=6.821 b=6.821 c=6.821 alpha=90.00 beta=90.00 gamma=90.00
Space group F-43m (No. 216)
Asymmetric unit:
1 La 0.000 0.000 0.000 (multiplicity 4)
2 In 0.000 0.000 0.500 (multiplicity 4)
3 P 0.250 0.250 0.750 (multiplicity 4)

- formation enthalpy at 0 K (meV per atom) = -588.3

=====

[11]
A crystal of TaSiNi2 relaxed with PBEsol. Source: Alexandria via LeMat-Bulk, functional meta-GGA SCAN.

Unit cell a=5.852 b=5.852 c=5.852 alpha=90.00 beta=90.00 gamma=90.00
Space group F-43m (No. 216)
Asymmetric unit:
1 Ta 0.000 0.000 0.000 (multiplicity 4)
2 Si 0.250 0.250 0.250 (multiplicity 4)
3 Ni 0.000 0.000 0.500 (multiplicity 4)
4 Ni 0.250 0.250 0.750 (multiplicity 4)

- E_form (uncorrected) (meV/atom) = -239

=====

[12]
A crystal of Hg2IrBr relaxed with PBEsol. Source: Alexandria via LeMat-Bulk, functional meta-GGA SCAN.

Unit cell a=4.210 b=4.210 c=8.667 alpha=90.00 beta=90.00 gamma=90.00
Space group I-4m2 (No. 119)
Asymmetric unit:
1 Hg 0.000 0.000 0.000 (multiplicity 2)
2 Hg 0.000 0.500 0.250 (multiplicity 2)
3 Ir 0.000 0.000 0.500 (multiplicity 2)
4 Br 0.000 0.500 0.750 (multiplicity 2)

- relative energy among the computed polymorphs (kcal/mol of atoms) = 6.73
- E_form (uncorrected) (meV/atom) = 874

=====

[13]
A crystal of Li2La2Hg relaxed with PBEsol. Source: Alexandria via LeMat-Bulk, functional meta-GGA SCAN.

Unit cell a=6.828 b=6.828 c=5.177 alpha=90.00 beta=90.00 gamma=90.00
Space group P4/mbm (No. 127)
Asymmetric unit:
1 Li 0.135 0.365 0.000 (multiplicity 4)
2 La 0.179 0.679 0.500 (multiplicity 4)
3 Hg 0.000 0.000 0.000 (multiplicity 2)

- formation enthalpy at 0 K (meV per atom) = -248.1

=====

[14]
A crystal of LiAlSeBr2 relaxed with PBEsol. Source: Alexandria via LeMat-Bulk, functional meta-GGA SCAN.

Unit cell a=4.816 b=4.816 c=4.881 alpha=90.00 beta=90.00 gamma=90.00
Space group P4/mmm (No. 123)
Asymmetric unit:
1 Li 0.000 0.000 0.000 (multiplicity 1)
2 Al 0.500 0.500 0.500 (multiplicity 1)
3 Se 0.000 0.000 0.500 (multiplicity 1)
4 Br 0.000 0.500 0.000 (multiplicity 2)

- E_form (uncorrected) (meV/atom) = -137

=====

[15]
A crystal of Ba2IrBrF relaxed with PBEsol. Source: Alexandria via LeMat-Bulk, functional meta-GGA SCAN.

Unit cell a=5.845 b=5.845 c=5.059 alpha=90.00 beta=90.00 gamma=90.00
Space group P4/mmm (No. 123)
Asymmetric unit:
1 Ba 0.000 0.500 0.000 (multiplicity 2)
2 Ir 0.000 0.000 0.000 (multiplicity 1)
3 Br 0.000 0.000 0.500 (multiplicity 1)
4 F 0.500 0.500 0.500 (multiplicity 1)

- E_form (uncorrected) (meV/atom) = -997

=====

[16]
A crystal of InPt2Cl relaxed with PBEsol. Source: Alexandria via LeMat-Bulk, functional meta-GGA SCAN.

Unit cell a=3.126 b=3.508 c=6.358 alpha=90.00 beta=90.00 gamma=90.00
Space group Pmmm (No. 47)
Asymmetric unit:
1 In 0.000 0.000 0.000 (multiplicity 1)
2 Pt 0.500 0.500 0.222 (multiplicity 2)
3 Cl 0.000 0.000 0.500 (multiplicity 1)

- relative energy among the computed polymorphs (kcal/mol of atoms) = 0.00
- E_form (uncorrected) (meV/atom) = 30

=====

[17]
A crystal of InRe2Sb relaxed with PBEsol. Source: Alexandria via LeMat-Bulk, functional meta-GGA SCAN.

Unit cell a=3.001 b=4.482 c=10.967 alpha=90.00 beta=90.00 gamma=90.00
Space group Imm2 (No. 44)
Asymmetric unit:
1 In 0.000 0.000 0.000 (multiplicity 2)
2 Re 0.000 0.000 0.514 (multiplicity 2)
3 Re 0.000 0.500 0.816 (multiplicity 2)
4 Sb 0.000 0.500 0.229 (multiplicity 2)

- relative energy among the computed polymorphs (kcal/mol of atoms) = 0.00
- E_form (uncorrected) (meV/atom) = 674

=====

[18]
A crystal of YMg2Cu relaxed with PBEsol. Source: Alexandria via LeMat-Bulk, functional meta-GGA SCAN.

Unit cell a=3.944 b=3.944 c=10.984 alpha=90.00 beta=90.00 gamma=90.00
Space group P4/nmm (No. 129, origin choice 2)
Asymmetric unit:
1 Y 0.250 0.250 0.247 (multiplicity 2)
2 Mg 0.250 0.250 0.930 (multiplicity 2)
3 Mg 0.250 0.750 0.500 (multiplicity 2)
4 Cu 0.250 0.250 0.675 (multiplicity 2)

- formation enthalpy at 0 K (meV per atom) = -180.7

=====

[19]
A crystal of Y2FeCo relaxed with PBEsol. Source: Alexandria via LeMat-Bulk, functional meta-GGA SCAN.

Unit cell a=3.381 b=4.322 c=10.738 alpha=90.00 beta=90.00 gamma=90.00
Space group Imm2 (No. 44)
Asymmetric unit:
1 Y 0.000 0.000 0.000 (multiplicity 2)
2 Y 0.000 0.500 0.222 (multiplicity 2)
3 Fe 0.000 0.500 0.799 (multiplicity 2)
4 Co 0.000 0.000 0.431 (multiplicity 2)

- relative energy among the computed polymorphs (kcal/mol of atoms) = 3.45
- formation enthalpy at 0 K (meV per atom) = 66.7

=====

[20]
A crystal of Li2TlP relaxed with PBEsol. Source: Alexandria via LeMat-Bulk, functional meta-GGA SCAN.

Unit cell a=4.207 b=4.207 c=17.256 alpha=90.00 beta=90.00 gamma=90.00
Space group I-42d (No. 122)
Asymmetric unit:
1 Li 0.180 0.250 0.125 (multiplicity 8)
2 Tl 0.000 0.000 0.500 (multiplicity 4)
3 P 0.000 0.000 0.000 (multiplicity 4)

- relative energy among the computed polymorphs (kcal/mol of atoms) = 3.85
- formation enthalpy at 0 K (meV per atom) = -140.8

=====

[21]
A crystal of RuPt2W relaxed with PBEsol. Source: Alexandria via LeMat-Bulk, functional meta-GGA SCAN.

Unit cell a=4.720 b=2.757 c=4.756 alpha=90.00 beta=109.20 gamma=90.00
Space group P2/m (No. 10)
Asymmetric unit:
1 Ru 0.000 0.000 0.000 (multiplicity 1)
2 Pt 0.000 0.500 0.500 (multiplicity 1)
3 Pt 0.500 0.000 0.500 (multiplicity 1)
4 W 0.500 0.500 0.000 (multiplicity 1)

- relative energy among the computed polymorphs (kcal/mol of atoms) = 3.44
- formation enthalpy at 0 K (meV per atom) = -80.0

=====

[22]
A crystal of TlGa2Os relaxed with PBEsol. Source: Alexandria via LeMat-Bulk, functional meta-GGA SCAN.

Unit cell a=6.496 b=6.496 c=6.496 alpha=90.00 beta=90.00 gamma=90.00
Space group Fm-3m (No. 225)
Asymmetric unit:
1 Tl 0.000 0.000 0.000 (multiplicity 4)
2 Ga 0.250 0.250 0.250 (multiplicity 8)
3 Os 0.000 0.000 0.500 (multiplicity 4)

- formation enthalpy at 0 K (meV per atom) = 758.3

=====

[23]
A crystal of ZrTlIr2 relaxed with PBEsol. Source: Alexandria via LeMat-Bulk, functional meta-GGA SCAN.

Unit cell a=3.925 b=3.925 c=8.865 alpha=90.00 beta=90.00 gamma=90.00
Space group I-4m2 (No. 119)
Asymmetric unit:
1 Zr 0.000 0.000 0.000 (multiplicity 2)
2 Tl 0.000 0.500 0.250 (multiplicity 2)
3 Ir 0.000 0.000 0.500 (multiplicity 2)
4 Ir 0.000 0.500 0.750 (multiplicity 2)

- formation enthalpy at 0 K (meV per atom) = -265.9

=====

[24]
A crystal of NaTa3O8 relaxed with PBEsol. Source: Alexandria via LeMat-Bulk, functional meta-GGA SCAN.

Unit cell a=7.231 b=10.492 c=6.954 alpha=90.00 beta=90.00 gamma=90.00
Space group Ibam (No. 72)
Asymmetric unit:
1 Na 0.000 0.000 0.250 (multiplicity 4)
2 Ta 0.000 0.500 0.250 (multiplicity 4)
3 Ta 0.234 0.266 0.000 (multiplicity 8)
4 O 0.008 0.175 0.500 (multiplicity 8)
5 O 0.122 0.436 0.000 (multiplicity 8)
6 O 0.191 0.355 0.294 (multiplicity 16)

- E_form (uncorrected) (meV/atom) = -2975

=====

[25]
A crystal of BaCuSi3 relaxed with PBEsol. Source: Alexandria via LeMat-Bulk, functional meta-GGA SCAN.

Unit cell a=5.464 b=5.464 c=5.464 alpha=90.00 beta=90.00 gamma=90.00
Space group Pm-3m (No. 221)
Asymmetric unit:
1 Ba 0.000 0.000 0.000 (multiplicity 1)
2 Cu 0.500 0.500 0.500 (multiplicity 1)
3 Si 0.000 0.000 0.500 (multiplicity 3)

- E_form (uncorrected) (meV/atom) = 2384

=====

[26]
A crystal of CaLaBr2 relaxed with PBEsol. Source: Alexandria via LeMat-Bulk, functional meta-GGA SCAN.

Unit cell a=3.953 b=4.019 c=13.748 alpha=90.00 beta=90.00 gamma=90.00
Space group Imm2 (No. 44)
Asymmetric unit:
1 Ca 0.000 0.000 0.000 (multiplicity 2)
2 La 0.000 0.500 0.755 (multiplicity 2)
3 Br 0.000 0.000 0.428 (multiplicity 2)
4 Br 0.000 0.500 0.160 (multiplicity 2)

- relative energy among the computed polymorphs (kcal/mol of atoms) = 0.48
- E_form (uncorrected) (meV/atom) = -1371

=====

[27]
A crystal of MnHg2Te relaxed with PBEsol. Source: Alexandria via LeMat-Bulk, functional meta-GGA SCAN.

Unit cell a=4.366 b=4.460 c=9.022 alpha=90.00 beta=90.00 gamma=90.00
Space group Cmmm (No. 65)
Asymmetric unit:
1 Mn 0.000 0.000 0.000 (multiplicity 2)
2 Hg 0.000 0.500 0.200 (multiplicity 4)
3 Te 0.000 0.000 0.500 (multiplicity 2)

- E_form (uncorrected) (meV/atom) = 112

=====

[28]
A crystal of SiNiNO2 relaxed with PBEsol. Source: Alexandria via LeMat-Bulk, functional meta-GGA SCAN.

Unit cell a=3.661 b=3.661 c=3.598 alpha=90.00 beta=90.00 gamma=90.00
Space group P4/mmm (No. 123)
Asymmetric unit:
1 Si 0.000 0.000 0.000 (multiplicity 1)
2 Ni 0.500 0.500 0.500 (multiplicity 1)
3 N 0.500 0.500 0.000 (multiplicity 1)
4 O 0.000 0.500 0.500 (multiplicity 2)

- E_form (uncorrected) (meV/atom) = 347

=====

Computed spin magnetization (μB per formula unit) in order:
0.26, 0.12, 0.00, 7.05, 4.64, 0.00, 0.00, 0.00, 3.30, 0.00, 0.00, 0.00, 0.00, 0.01, 0.00, 0.00, 0.00, 0.10, 2.77, 0.00, 0.00, 0.42, 0.00, 0.00, 0.00, 1.09, 4.59, 0.00